(1)
Crystalline HfZnCr2Ni at its relaxed geometry. Source: Alexandria, functional PBE-GGA.

Cell lengths 4.8155, 4.8155, 4.5269 Å; angles 90.00, 90.00, 90.00 degrees
Closest atoms and distances in Å follow each position.
Positions (direct):
1 Hf 0.0000 0.0000 0.0000  2 Ni 2.26, 4 Cr 2.41
2 Zn 0.5000 0.5000 0.5000  8 Cr 3.30, 4 Ni 3.41
3 Cr 0.0000 0.5000 0.0000  2 Hf 2.41
4 Cr 0.5000 0.0000 0.0000  2 Hf 2.41
5 Ni 0.0000 0.0000 0.5000  2 Hf 2.26

Computed properties:
Raw total energy: -5.751 eV per atom
Crystal system: tetragonal
Theoretical density: 6.4 g cm⁻³
SG: P4/mmm (123)
DFT formation energy: 1.4996 eV per atom
Total magnetic moment: 6.3 μB per formula unit

(2)
Crystalline HfNpCr at its relaxed geometry. Source: Alexandria, functional PBE-GGA.

Cell lengths 13.0373, 13.0373, 13.0373 Å; angles 23.69, 23.69, 23.69 degrees
Closest atoms and distances in Å follow each position.
Positions (direct):
1 Hf 0.0374 0.0374 0.0374  1 Hf 2.84, 9 Cr 3.03-3.13, 3 Np 3.06
2 Hf 0.1817 0.1817 0.1817  9 Np 3.12-3.14, 3 Cr 3.14, 4 Hf 3.29-3.42
3 Hf 0.2717 0.2717 0.2717  6 Cr 2.81-3.12
4 Hf 0.7283 0.7283 0.7283  6 Cr 2.81-3.12
5 Hf 0.8183 0.8183 0.8183  9 Np 3.12-3.14, 3 Cr 3.14, 4 Hf 3.29-3.42
6 Hf 0.9626 0.9626 0.9626  1 Hf 2.84, 9 Cr 3.03-3.13, 3 Np 3.06
7 Np 0.2002 0.7371 0.7371  2 Np 2.48, 2 Cr 2.76-2.77
8 Np 0.2629 0.2629 0.7998  2 Np 2.48, 2 Cr 2.76-2.77
9 Np 0.2629 0.7998 0.2629  2 Np 2.48, 2 Cr 2.76-2.77
10 Np 0.7371 0.2002 0.7371  2 Np 2.48, 2 Cr 2.76-2.77
11 Np 0.7371 0.7371 0.2002  2 Np 2.48, 2 Cr 2.76-2.77
12 Np 0.7998 0.2629 0.2629  2 Np 2.48, 2 Cr 2.76-2.77
13 Cr 0.0000 0.5000 0.5000  6 Cr 2.46-2.68
14 Cr 0.3836 0.3836 0.3836  3 Cr 2.46
15 Cr 0.5000 0.0000 0.5000  6 Cr 2.46-2.68
16 Cr 0.5000 0.5000 0.0000  6 Cr 2.46-2.68
17 Cr 0.5000 0.5000 0.5000  6 Np 2.76
18 Cr 0.6164 0.6164 0.6164  3 Cr 2.46

Computed properties:
Raw total energy: -10.642 eV per atom
Crystal system: trigonal
Theoretical density: 14.8 g cm⁻³
SG: R-3m (166)
DFT formation energy: 0.1976 eV per atom
Total magnetic moment: 0.1 μB per formula unit

Number 2 is which compound? HfNpCr

What is the DFT formation energy in the first record? 1.4996 eV per atom